[1]
# HfBi | Alexandria via LeMat-Bulk | PBE | optimized geometry
data_HfBi
_chemical_formula_sum 'Hf6 Bi6'
_cell_length_a 10.4131
_cell_length_b 10.4131
_cell_length_c 4.3268
_cell_angle_alpha 90.00
_cell_angle_beta 90.00
_cell_angle_gamma 120.00
_space_group_name_H-M_alt 'P 63/m'
_space_group_IT_number 176
_space_group_name_Hall '-P 6c'
loop_
_atom_site_label
_atom_site_type_symbol
_atom_site_fract_x
_atom_site_fract_y
_atom_site_fract_z
Hf1 Hf 0.1485 0.5035 0.2500
Bi1 Bi 0.0264 0.7082 0.2500
# - Density of states at the Fermi level: 8.11 states/eV per cell
# - Energy relative to the elements: 0.64 eV/f.u.
# - M_tot: 0.0 μB/cell

[2]
# BaRuAu | Alexandria via LeMat-Bulk | PBE | optimized geometry
data_BaRuAu
_chemical_formula_sum 'Ba4 Ru4 Au4'
_cell_length_a 6.833
_cell_length_b 6.833
_cell_length_c 6.833
_cell_angle_alpha 90.00
_cell_angle_beta 90.00
_cell_angle_gamma 90.00
_space_group_name_H-M_alt 'F -4 3 m'
_space_group_IT_number 216
_space_group_name_Hall 'F -4 2 3'
loop_
_atom_site_label
_atom_site_type_symbol
_atom_site_fract_x
_atom_site_fract_y
_atom_site_fract_z
Ba1 Ba 0.000 0.000 0.000
Ru1 Ru 0.250 0.250 0.250
Au1 Au 0.000 0.000 0.500
# - Density of states at the Fermi level: 17.01 states/eV per cell
# - Energy above the most stable polymorph in this dataset: 1.230 eV/f.u.
# - Energy relative to the elements: 1.75 eV/f.u.
# - M_tot: 3.5 μB/cell

[3]
# Sc4AgHg7 | Alexandria via LeMat-Bulk | PBE | optimized geometry
data_Sc4AgHg7
_chemical_formula_sum 'Sc8 Ag2 Hg14'
_cell_length_a 12.353
_cell_length_b 5.196
_cell_length_c 10.280
_cell_angle_alpha 90.00
_cell_angle_beta 120.98
_cell_angle_gamma 90.00
_space_group_name_H-M_alt 'C 1 2/m 1'
_space_group_IT_number 12
loop_
_space_group_symop_operation_xyz
'x,y,z'
'-x,-y,-z'
'-x,y,-z'
'x,-y,z'
'x+1/2,y+1/2,z'
'-x+1/2,-y+1/2,-z'
'-x+1/2,y+1/2,-z'
'x+1/2,-y+1/2,z'
loop_
_atom_site_label
_atom_site_type_symbol
_atom_site_fract_x
_atom_site_fract_y
_atom_site_fract_z
Sc1 Sc 0.080 0.000 0.276
Sc2 Sc 0.233 0.000 0.817
Ag1 Ag 0.000 0.500 0.500
Hg1 Hg 0.000 0.000 0.500
Hg2 Hg 0.073 0.500 0.840
Hg3 Hg 0.141 0.000 0.039
Hg4 Hg 0.198 0.500 0.415
# - Density of states at the Fermi level: 12.32 states/eV per cell
# - Energy relative to the elements: -1.84 eV/f.u.
# - M_tot: 0.0 μB/cell

[4]
# Ba2NdZn | Alexandria via LeMat-Bulk | PBE | optimized geometry
data_Ba2NdZn
_chemical_formula_sum 'Ba6 Nd3 Zn3'
_cell_length_a 3.9270
_cell_length_b 3.9270
_cell_length_c 37.5377
_cell_angle_alpha 90.00
_cell_angle_beta 90.00
_cell_angle_gamma 120.00
_space_group_name_H-M_alt 'R -3 m'
_space_group_IT_number 166
_space_group_name_Hall '-R 3 2"'
loop_
_atom_site_label
_atom_site_type_symbol
_atom_site_fract_x
_atom_site_fract_y
_atom_site_fract_z
Ba1 Ba 0.0000 0.0000 0.1000
Nd1 Nd 0.0000 0.0000 0.0000
Zn1 Zn 0.0000 0.0000 0.5000
# - Density of states at the Fermi level: 18.91 states/eV per cell
# - Energy relative to the elements: 1.14 eV/f.u.
# - M_tot: 0.5 μB/cell

[5]
# La2In12Pd | Alexandria via LeMat-Bulk | PBE | optimized geometry
data_La2In12Pd
_chemical_formula_sum 'La4 In24 Pd2'
_cell_length_a 6.801
_cell_length_b 6.801
_cell_length_c 17.396
_cell_angle_alpha 90.00
_cell_angle_beta 90.00
_cell_angle_gamma 90.00
_space_group_name_H-M_alt 'P 4/n b m'
_space_group_IT_number 125
loop_
_space_group_symop_operation_xyz
'x,y,z'
'-x,-y,-z'
'-y+1/2,x,z'
'y+1/2,-x,-z'
'-x+1/2,-y+1/2,z'
'x+1/2,y+1/2,-z'
'y,-x+1/2,z'
'-y,x+1/2,-z'
'x,-y+1/2,-z'
'-x,y+1/2,z'
'-y+1/2,-x+1/2,-z'
'y+1/2,x+1/2,z'
'-x+1/2,y,-z'
'x+1/2,-y,z'
'y,x,-z'
'-y,-x,z'
loop_
_atom_site_label
_atom_site_type_symbol
_atom_site_fract_x
_atom_site_fract_y
_atom_site_fract_z
La1 La 0.250 0.750 0.238
In1 In 0.000 0.000 0.086
In2 In 0.086 0.586 0.430
In3 In 0.250 0.250 0.186
In4 In 0.250 0.250 0.344
Pd1 Pd 0.250 0.750 0.000
# - Density of states at the Fermi level: 13.06 states/eV per cell
# - Energy relative to the elements: -4.21 eV/f.u.
# - M_tot: 0.0 μB/cell

[6]
# Ti2Tl2Bi | Alexandria via LeMat-Bulk | PBE | optimized geometry
data_Ti2Tl2Bi
_chemical_formula_sum 'Ti4 Tl4 Bi2'
_cell_length_a 7.252
_cell_length_b 7.252
_cell_length_c 4.415
_cell_angle_alpha 90.00
_cell_angle_beta 90.00
_cell_angle_gamma 90.00
_space_group_name_H-M_alt 'P 4/m b m'
_space_group_IT_number 127
_space_group_name_Hall '-P 4 2ab'
loop_
_atom_site_label
_atom_site_type_symbol
_atom_site_fract_x
_atom_site_fract_y
_atom_site_fract_z
Ti1 Ti 0.141 0.359 0.000
Tl1 Tl 0.161 0.661 0.500
Bi1 Bi 0.000 0.000 0.000
# - Density of states at the Fermi level: 8.58 states/eV per cell
# - Energy above the most stable polymorph in this dataset: 0.000 eV/f.u.
# - Energy relative to the elements: 0.47 eV/f.u.
# - M_tot: 0.0 μB/cell

[7]
# InPd2Pb8 | Alexandria via LeMat-Bulk | PBE | optimized geometry
data_InPd2Pb8
_chemical_formula_sum 'In2 Pd4 Pb16'
_cell_length_a 18.824
_cell_length_b 4.508
_cell_length_c 7.631
_cell_angle_alpha 90.00
_cell_angle_beta 107.34
_cell_angle_gamma 90.00
_space_group_name_H-M_alt 'C 1 2/m 1'
_space_group_IT_number 12
loop_
_space_group_symop_operation_xyz
'x,y,z'
'-x,-y,-z'
'-x,y,-z'
'x,-y,z'
'x+1/2,y+1/2,z'
'-x+1/2,-y+1/2,-z'
'-x+1/2,y+1/2,-z'
'x+1/2,-y+1/2,z'
loop_
_atom_site_label
_atom_site_type_symbol
_atom_site_fract_x
_atom_site_fract_y
_atom_site_fract_z
In1 In 0.000 0.000 0.000
Pd1 Pd 0.192 0.500 0.707
Pb1 Pb 0.042 0.500 0.738
Pb2 Pb 0.101 0.000 0.476
Pb3 Pb 0.177 0.000 0.958
Pb4 Pb 0.206 0.500 0.326
# - Density of states at the Fermi level: 9.98 states/eV per cell
# - Energy relative to the elements: -0.95 eV/f.u.
# - M_tot: 0.0 μB/cell

[8]
# EuZnPbAu | Alexandria via LeMat-Bulk | PBE | optimized geometry
data_EuZnPbAu
_chemical_formula_sum 'Eu4 Zn4 Pb4 Au4'
_cell_length_a 7.258
_cell_length_b 7.258
_cell_length_c 7.258
_cell_angle_alpha 90.00
_cell_angle_beta 90.00
_cell_angle_gamma 90.00
_space_group_name_H-M_alt 'F -4 3 m'
_space_group_IT_number 216
_space_group_name_Hall 'F -4 2 3'
loop_
_atom_site_label
_atom_site_type_symbol
_atom_site_fract_x
_atom_site_fract_y
_atom_site_fract_z
Eu1 Eu 0.000 0.000 0.000
Zn1 Zn 0.250 0.250 0.250
Pb1 Pb 0.000 0.000 0.500
Au1 Au 0.250 0.250 0.750
# - Density of states at the Fermi level: 29.26 states/eV per cell
# - Energy relative to the elements: -1.59 eV/f.u.
# - M_tot: 27.7 μB/cell

- Number 4 is which compound?
  Ba2NdZn